1.
# HgPt2O

A relaxed structure of HgPt2O (PBE, Alexandria via LeMat-Bulk).

Output
Total DFT energy (no corrections) in eV per formula unit: -17.20
Calculated density in g cm⁻³: 13.5
Excess energy over the best structure of this formula in the dataset in kJ/mol of formula units: 68

abc: 4.385 3.251 10.699
angles: 90.00 101.80 90.00
Sites, in units of the cell vectors:
Pt  0.176  0.500  0.751
Pt  0.632  0.000  0.822
Pt  0.632  0.500  0.322
Pt  0.176  0.000  0.251
O  0.926  0.500  0.889
O  0.926  0.000  0.389
Hg  0.472  0.500  0.556
Hg  0.472  0.000  0.056

2.
# HgPt2O

A relaxed structure of HgPt2O (PBE, Alexandria via LeMat-Bulk).

Output
Total DFT energy (no corrections) in eV per formula unit: -17.43
Calculated density in g cm⁻³: 12.7
Excess energy over the best structure of this formula in the dataset in kJ/mol of formula units: 46

abc: 4.756 2.885 5.767
angles: 90.00 90.58 90.00
Sites, in units of the cell vectors:
Hg  0.855  0.500  0.861
O  0.399  0.000  0.397
Pt  0.360  0.500  0.156
Pt  0.351  0.000  0.756

3.
# Hg2Pt2O7

A relaxed structure of Hg2Pt2O7 (PBE, Alexandria via LeMat-Bulk).

Output
Total DFT energy (no corrections) in eV per formula unit: -51.82
Calculated density in g cm⁻³: 10.8

abc: 7.321 7.321 7.321
angles: 60.00 60.00 60.00
Sites, in units of the cell vectors:
Pt  0.125  0.625  0.625
Pt  0.625  0.125  0.625
Pt  0.625  0.625  0.625
Pt  0.625  0.625  0.125
O  0.297  0.297  0.703
O  0.250  0.250  0.250
O  0.703  0.297  0.297
O  0.000  0.000  0.000
O  0.703  0.297  0.703
O  0.953  0.547  0.953
O  0.547  0.953  0.547
O  0.703  0.703  0.297
O  0.953  0.953  0.547
O  0.547  0.547  0.953
O  0.953  0.547  0.547
O  0.547  0.953  0.953
O  0.297  0.703  0.297
O  0.297  0.703  0.703
Hg  0.125  0.125  0.625
Hg  0.125  0.625  0.125
Hg  0.125  0.125  0.125
Hg  0.625  0.125  0.125

4.
# HgPt2O

A relaxed structure of HgPt2O (PBE, Alexandria via LeMat-Bulk).

Output
Total DFT energy (no corrections) in eV per formula unit: -17.90
Calculated density in g cm⁻³: 15.0
Excess energy over the best structure of this formula in the dataset in kJ/mol of formula units: 0

abc: 5.633 5.632 5.631
angles: 118.39 101.20 109.34
Sites, in units of the cell vectors:
Hg  0.500  0.500  0.500
Hg  0.000  0.000  0.500
Pt  0.500  0.000  0.000
Pt  0.000  0.500  0.000
Pt  0.500  0.000  0.500
Pt  0.500  0.500  0.000
O  0.097  0.750  0.847
O  0.903  0.250  0.153

5.
# HgPt2O

A relaxed structure of HgPt2O (PBE, Alexandria via LeMat-Bulk).

Output
Total DFT energy (no corrections) in eV per formula unit: -17.48
Calculated density in g cm⁻³: 14.4
Excess energy over the best structure of this formula in the dataset in kJ/mol of formula units: 41

abc: 4.924 6.536 9.012
angles: 90.00 105.69 90.00
Each line ends with the local moment (μB).
Sites, in units of the cell vectors:
Pt  0.859  0.754  0.741  0.04
Pt  0.859  0.746  0.241  0.04
Pt  0.867  0.000  0.495  0.00
Pt  0.397  0.500  0.744  0.01
Pt  0.867  0.500  0.995  0.00
Pt  0.859  0.254  0.241  0.04
Pt  0.397  0.000  0.244  0.01
Pt  0.859  0.246  0.741  0.04
Hg  0.359  0.252  0.489  0.00
Hg  0.359  0.248  0.989  0.00
Hg  0.359  0.748  0.489  0.00
Hg  0.359  0.752  0.989  0.00
O  0.730  0.500  0.325  0.07
O  0.971  0.000  0.144  0.01
O  0.730  0.000  0.825  0.07
O  0.971  0.500  0.644  0.01

6.
# PuHgPtO6

A relaxed structure of PuHgPtO6 (PBE, Alexandria via LeMat-Bulk).

Output
Total DFT energy (no corrections) in eV per formula unit: -61.85
Calculated density in g cm⁻³: 9.5

abc: 5.354 5.354 10.309
angles: 90.00 90.00 120.00
Each line ends with the local moment (μB).
Sites, in units of the cell vectors:
Hg  0.000  0.000  0.000  -0.01
Hg  0.000  0.000  0.500  -0.01
O  0.352  0.359  0.360  -0.08
O  0.993  0.352  0.640  -0.08
O  0.641  0.648  0.140  -0.08
O  0.359  0.352  0.860  -0.08
O  0.359  0.007  0.640  -0.08
O  0.352  0.993  0.140  -0.08
O  0.648  0.007  0.860  -0.08
O  0.993  0.641  0.860  -0.08
O  0.007  0.648  0.360  -0.08
O  0.641  0.993  0.360  -0.08
O  0.648  0.641  0.640  -0.08
O  0.007  0.359  0.140  -0.08
Pu  0.333  0.667  0.750  2.58
Pu  0.667  0.333  0.250  2.58
Pt  0.333  0.667  0.250  -0.04
Pt  0.667  0.333  0.750  -0.04